# Mg3Tl6Cd

A geometry-optimized Mg3Tl6Cd structure (PBE, the Alexandria database).

a = 6.143 Å, b = 9.985 Å, c = 9.985 Å
α = 114.36°, β = 90.00°, γ = 90.00°
Fractional positions:
1 Mg 0.400 0.969 0.733
2 Mg 0.900 0.733 0.969
3 Mg 0.215 0.401 0.599
4 Mg 0.715 0.599 0.401
5 Mg 0.900 0.031 0.267
6 Mg 0.400 0.267 0.031
7 Tl 0.063 0.719 0.671
8 Tl 0.563 0.671 0.719
9 Tl 0.327 0.554 0.954
10 Tl 0.827 0.954 0.554
11 Tl 0.346 0.943 0.057
12 Tl 0.713 0.331 0.669
13 Tl 0.213 0.669 0.331
14 Tl 0.846 0.057 0.943
15 Tl 0.327 0.046 0.446
16 Tl 0.827 0.446 0.046
17 Tl 0.063 0.329 0.281
18 Tl 0.563 0.281 0.329
19 Cd 0.130 0.224 0.776
20 Cd 0.630 0.776 0.224

Calculated values
final energy = -38.930 eV per cell
magnetic moment = 0.0 μB/cell
ΔE_f = 0.043 eV/atom